[1]
Below is a relaxed structure of NaPb3Cl6, with properties calculated at the PBE-GGA level.

Results
- total energy (eV/atom) = -3.4689
- DOS(E_F) (states/eV per cell) = 4.53

```
data_NaPb3Cl6
_chemical_formula_sum 'Na2 Pb6 Cl12'
_cell_length_a 6.611
_cell_length_b 7.347
_cell_length_c 13.064
_cell_angle_alpha 90.00
_cell_angle_beta 107.79
_cell_angle_gamma 90.00
_space_group_name_H-M_alt 'P 1 21/c 1'
_space_group_IT_number 14
_space_group_name_Hall '-P 2ybc'
loop_
_atom_site_label
_atom_site_type_symbol
_atom_site_fract_x
_atom_site_fract_y
_atom_site_fract_z
_atom_site_occupancy
Na1 Na 0.000 0.000 0.000 1
Pb1 Pb 0.212 0.058 0.717 1
Pb2 Pb 0.500 0.000 0.500 1
Cl1 Cl 0.147 0.238 0.392 1
Cl2 Cl 0.181 0.736 0.392 1
Cl3 Cl 0.365 0.088 0.188 1
```

[2]
Below is a relaxed structure of NaPb3Cl, with properties calculated at the PBE-GGA level.

Results
- total energy (eV/atom) = -2.7629
- distance to the lowest polymorph of the same formula (kJ/mol of formula units) = 0
- DOS(E_F) (states/eV per cell) = 2.27

```
data_NaPb3Cl
_chemical_formula_sum 'Na1 Pb3 Cl1'
_cell_length_a 5.655
_cell_length_b 5.655
_cell_length_c 5.655
_cell_angle_alpha 90.00
_cell_angle_beta 90.00
_cell_angle_gamma 90.00
_space_group_name_H-M_alt 'P m -3 m'
_space_group_IT_number 221
_space_group_name_Hall '-P 4 2 3'
loop_
_atom_site_label
_atom_site_type_symbol
_atom_site_fract_x
_atom_site_fract_y
_atom_site_fract_z
_atom_site_occupancy
Na1 Na 0.000 0.000 0.000 1
Pb1 Pb 0.000 0.500 0.500 1
Cl1 Cl 0.500 0.500 0.500 1
```

[3]
Below is a relaxed structure of Na4PbCl6, with properties calculated at the PBE-GGA level.

Results
- total energy (eV/atom) = -3.4418
- DOS(E_F) (states/eV per cell) = 0.00

```
data_Na4PbCl6
_chemical_formula_sum 'Na16 Pb4 Cl24'
_cell_length_a 4.005
_cell_length_b 13.325
_cell_length_c 20.362
_cell_angle_alpha 90.00
_cell_angle_beta 90.00
_cell_angle_gamma 90.00
_space_group_name_H-M_alt 'C m c m'
_space_group_IT_number 63
_space_group_name_Hall '-C 2c 2'
loop_
_atom_site_label
_atom_site_type_symbol
_atom_site_fract_x
_atom_site_fract_y
_atom_site_fract_z
_atom_site_occupancy
Na1 Na 0.000 0.098 0.124 1
Na2 Na 0.000 0.360 0.040 1
Pb1 Pb 0.000 0.154 0.750 1
Cl1 Cl 0.000 0.000 0.000 1
Cl2 Cl 0.000 0.189 0.250 1
Cl3 Cl 0.000 0.270 0.587 1
Cl4 Cl 0.000 0.451 0.164 1
```

[4]
Below is a relaxed structure of NaPb3Cl, with properties calculated at the PBE-GGA level.

Results
- total energy (eV/atom) = -2.4889
- distance to the lowest polymorph of the same formula (kJ/mol of formula units) = 132
- DOS(E_F) (states/eV per cell) = 3.40

```
data_NaPb3Cl
_chemical_formula_sum 'Na1 Pb3 Cl1'
_cell_length_a 5.617
_cell_length_b 5.617
_cell_length_c 5.617
_cell_angle_alpha 90.00
_cell_angle_beta 90.00
_cell_angle_gamma 90.00
_space_group_name_H-M_alt 'P m -3 m'
_space_group_IT_number 221
_space_group_name_Hall '-P 4 2 3'
loop_
_atom_site_label
_atom_site_type_symbol
_atom_site_fract_x
_atom_site_fract_y
_atom_site_fract_z
_atom_site_occupancy
Na1 Na 0.000 0.000 0.000 1
Pb1 Pb 0.000 0.000 0.500 1
Cl1 Cl 0.500 0.500 0.500 1
```